Material: TaFeAg2
Method: DFT, GGA-PBEsol
State: optimized geometry

Computed properties:
symmetry = No. 123
DFT formation energy = 0.39 eV per atom

Cell lengths 2.7453, 2.7453, 8.2304 Å; angles 90.00, 90.00, 90.07 degrees
Closest atoms and distances in Å follow each position.
Positions (direct):
Fe  0.5000  0.5000  0.5000  8 Ag 2.72, 4 Fe 2.75
Ta  0.5000  0.5000  0.0000  4 Ta 2.75, 8 Ag 2.94
Ag  0.0000  0.0000  0.2679  4 Fe 2.72, 4 Ag 2.75, 4 Ta 2.94
Ag  0.0000  0.0000  0.7321  4 Fe 2.72, 4 Ag 2.75, 4 Ta 2.94